VASP calculation (PBE) on an optimized crystal structure of CeZrSc4.

Summary:
The calculation puts the energy above the most stable polymorph in this dataset at 0.002 eV/atom. As for the formation energy: 0.058 eV/atom. Its crystal system is orthorhombic.

Cell lengths 5.2165, 6.2754, 9.0150 Å; angles 90.00, 90.00, 90.00 degrees
With the nearest neighbours (Å) after each atom.
Space group Immm (No. 71)
Symmetry-distinct sites (fractional):
Ce1 0.0000 0.0000 0.0000  2 Zr 3.14, 12 Sc 3.38-3.40
Zr1 0.0000 0.5000 0.0000  2 Ce 3.14, 12 Sc 3.38-3.40
Sc1 0.0000 0.2465 0.3337  5 Sc 3.00-3.18